{"formula": "DyYBiO2", "functional": "PBE", "state": "relaxed", "e_form_raw_mev_per_atom": -2671, "dos_at_fermi_per_ev_cell": 1.5, "spacegroup": "I4mm (107)", "e_tot_ev_per_fu": -38.2, "cell": [[-0.820, -0.807, -3.720], [-2.063, -3.104, 1.128], [-4.145, 5.811, 1.691]], "species": ["O", "Dy", "Y", "O", "Bi"], "fractional_positions": [[0.750, 0.250, 0.501], [0.831, 0.831, 0.662], [0.168, 0.168, 0.336], [0.250, 0.750, 0.501], [0.500, 0.500, 0.000]]}